1) VASP calculation (GGA-PBE) on CaAl4Au6 after structural relaxation.

Structure (extended XYZ):
```
11
Lattice="-3.3853 3.3853 4.8341 3.3853 -3.3853 4.8341 3.3853 3.3853 -4.8341" Properties=species:S:1:pos:R:3 pbc="T T T"
Ca 0.0000 0.0000 0.0000
Al 2.2905 2.2905 -0.9100
Al 1.0948 -1.0948 5.7441
Al 1.0948 1.0948 3.9240
Al -1.0948 1.0948 5.7441
Au 3.3853 0.0000 0.0000
Au 1.3692 -1.3692 3.0484
Au 2.0161 2.0161 1.7856
Au 0.0000 3.3853 0.0000
Au -1.3692 1.3692 3.0484
Au 1.3692 1.3692 6.6197
```

Output
Space group ... No. 121
Total magnetic moment ... 0.00 μB per formula unit
Theoretical density ... 9.96 g/cm3

=====

2) VASP calculation (GGA-PBE) on CaAl4Au6 after structural relaxation.

Structure (extended XYZ):
```
11
Lattice="7.4774 0.0000 0.0000 -3.7387 6.4756 0.0000 0.0000 0.0000 4.2427" Properties=species:S:1:pos:R:3 pbc="T T T"
Ca 0.0000 0.0000 0.0000
Al 0.0000 2.5889 2.1213
Al -1.4967 5.1812 2.1213
Al 1.4967 5.1812 2.1213
Al 3.7387 2.1585 0.0000
Au -1.4857 3.4593 0.0000
Au 2.1742 1.2553 2.1213
Au 1.4857 3.4593 0.0000
Au 0.0000 6.0326 0.0000
Au 5.3032 1.2553 2.1213
Au 3.7387 3.9651 2.1213
```

Output
Space group ... No. 187
Total magnetic moment ... 0.00 μB per formula unit
Theoretical density ... 10.75 g/cm3

=====

It is 2) that is the most stable of them.

=====

1) VASP calculation (GGA-PBE) on Ca3Al2Au7 after structural relaxation.

Structure (extended XYZ):
```
12
Lattice="5.2633 0.0000 0.0000 0.0000 4.2116 0.0000 -1.0191 0.0000 12.2276" Properties=species:S:1:pos:R:3 pbc="T T T"
Ca 0.0000 0.0000 0.0000
Ca 0.8375 0.0000 7.5004
Ca 3.4067 0.0000 4.7272
Al 1.7885 2.1058 2.4011
Al 2.4557 2.1058 9.8265
Au -0.0643 2.1058 9.9397
Au 0.7527 0.0000 3.2283
Au 0.7819 2.1058 5.2693
Au 2.6317 2.1058 0.0000
Au 3.4624 2.1058 6.9583
Au 3.4916 0.0000 8.9993
Au 4.3085 2.1058 2.2879
```

Output
Space group ... No. 10
Total magnetic moment ... 0.00 μB per formula unit
Theoretical density ... 9.51 g/cm3

=====

2) VASP calculation (GGA-PBE) on Ca3Al2Au7 after structural relaxation.

Structure (extended XYZ):
```
12
Lattice="-2.1575 2.1575 13.9765 2.1575 -2.1575 13.9765 2.1575 2.1575 -13.9765" Properties=species:S:1:pos:R:3 pbc="T T T"
Ca 0.0000 0.0000 0.0000
Ca 0.0000 0.0000 4.8701
Ca 0.0000 0.0000 23.0828
Al 0.0000 0.0000 10.4024
Al 0.0000 0.0000 17.5506
Au 2.1575 0.0000 2.2169
Au 0.0000 0.0000 7.8985
Au 2.1575 0.0000 11.7595
Au 0.0000 0.0000 13.9765
Au 0.0000 2.1575 2.2169
Au 0.0000 0.0000 20.0544
Au 0.0000 2.1575 11.7595
```

Output
Space group ... No. 139
Total magnetic moment ... 0.00 μB per formula unit
Theoretical density ... 9.91 g/cm3

=====

It is 1) that is the most stable of them.

=====

1) VASP calculation (GGA-PBE) on Ca3Al4Au4 after structural relaxation.

Structure (extended XYZ):
```
11
Lattice="-3.9544 3.9544 3.9544 3.9544 -3.9544 3.9544 3.9544 3.9544 -3.9544" Properties=species:S:1:pos:R:3 pbc="T T T"
Ca 3.9544 0.0000 0.0000
Ca 0.0000 3.9544 0.0000
Ca 0.0000 0.0000 3.9544
Al 2.9320 2.9320 -2.9320
Al 2.9320 -2.9320 2.9320
Al 1.0223 1.0223 1.0223
Al -2.9320 2.9320 2.9320
Au 1.5088 1.5088 -1.5088
Au 1.5088 -1.5088 1.5088
Au -1.5088 1.5088 1.5088
Au 2.4455 2.4455 2.4455
```

Output
Space group ... No. 217
Total magnetic moment ... 0.00 μB per formula unit
Theoretical density ... 6.82 g/cm3

=====

2) VASP calculation (GGA-PBE) on Ca3Al4Au4 after structural relaxation.

Structure (extended XYZ):
```
11
Lattice="-2.1753 3.6463 7.2717 2.1753 -3.6463 7.2717 2.1753 3.6463 -7.2717" Properties=species:S:1:pos:R:3 pbc="T T T"
Ca 0.0000 0.0000 0.0000
Ca 2.1753 0.0000 5.5007
Ca 0.0000 3.6463 1.7710
Al 2.1753 1.4100 -2.5594
Al 2.1753 1.4100 2.5594
Al 0.0000 2.2363 4.7122
Al 0.0000 2.2363 9.8311
Au 0.0000 0.0000 3.1791
Au 2.1753 2.1423 0.0000
Au 0.0000 1.5040 7.2717
Au 0.0000 0.0000 11.3642
```

Output
Space group ... No. 71
Total magnetic moment ... 0.00 μB per formula unit
Theoretical density ... 7.31 g/cm3

=====

It is 2) that is the most stable of them.

=====

1) VASP calculation (GGA-PBE) on Ca2Al2Au after structural relaxation.

Structure (extended XYZ):
```
5
Lattice="-2.1845 2.1845 6.7440 2.1845 -2.1845 6.7440 2.1845 2.1845 -6.7440" Properties=species:S:1:pos:R:3 pbc="T T T"
Ca 2.1845 0.0000 3.3720
Ca 0.0000 2.1845 3.3720
Al 0.0000 0.0000 1.2025
Al 0.0000 0.0000 12.2856
Au 0.0000 0.0000 6.7440
```

Output
Space group ... No. 139
Total magnetic moment ... 0.00 μB per formula unit
Theoretical density ... 4.27 g/cm3

=====

2) VASP calculation (GGA-PBE) on Ca2Al2Au after structural relaxation.

Structure (extended XYZ):
```
10
Lattice="6.9942 0.0000 0.0000 0.0000 6.9942 0.0000 0.0000 0.0000 4.8631" Properties=species:S:1:pos:R:3 pbc="T T T"
Ca 1.2105 2.2866 0.0000
Ca 2.2866 5.7837 0.0000
Ca 4.7076 1.2105 0.0000
Ca 5.7837 4.7076 0.0000
Al 0.9370 4.4341 2.4316
Al 2.5602 0.9370 2.4316
Al 4.4341 6.0573 2.4316
Al 6.0573 2.5602 2.4316
Au 0.0000 0.0000 2.4316
Au 3.4971 3.4971 2.4316
```

Output
Space group ... No. 127
Total magnetic moment ... 0.00 μB per formula unit
Theoretical density ... 4.62 g/cm3

=====

It is 2) that is the most stable of them.

=====

1) VASP calculation (GGA-PBE) on CaAlAu4 after structural relaxation.

Structure (extended XYZ):
```
12
Lattice="2.1643 -8.3860 0.0000 2.1643 8.3860 0.0000 0.0000 0.0000 6.6042" Properties=species:S:1:pos:R:3 pbc="T T T"
Ca 2.1643 6.5507 4.9531
Ca 2.1643 -6.5507 1.6510
Al 2.1643 4.5772 1.6510
Al 2.1643 -4.5772 4.9531
Au 2.1643 7.1847 1.6510
Au 2.1643 2.9157 3.5417
Au 2.1643 2.9157 6.3645
Au 2.1643 0.0000 0.0000
Au 2.1643 0.0000 3.3021
Au 2.1643 -2.9157 0.2396
Au 2.1643 -2.9157 3.0624
Au 2.1643 -7.1847 4.9531
```

Output
Space group ... No. 63
Total magnetic moment ... 0.00 μB per formula unit
Theoretical density ... 11.84 g/cm3

=====

2) VASP calculation (GGA-PBE) on CaAlAu4 after structural relaxation.

Structure (extended XYZ):
```
6
Lattice="0.0000 3.9476 3.9476 3.9476 0.0000 3.9476 3.9476 3.9476 0.0000" Properties=species:S:1:pos:R:3 pbc="T T T"
Ca 0.0000 0.0000 0.0000
Al 5.9214 5.9214 5.9214
Au 2.9622 2.9622 2.9622
Au 4.9330 4.9330 2.9622
Au 4.9330 2.9622 4.9330
Au 2.9622 4.9330 4.9330
```

Output
Space group ... No. 216
Total magnetic moment ... 0.00 μB per formula unit
Theoretical density ... 11.54 g/cm3

=====

3) VASP calculation (GGA-PBE) on CaAlAu4 after structural relaxation.

Structure (extended XYZ):
```
6
Lattice="3.6942 0.0000 0.0000 0.0099 3.7771 0.0000 1.2452 0.0437 8.5287" Properties=species:S:1:pos:R:3 pbc="T T T"
Ca 0.0000 0.0000 0.0000
Al 2.4747 1.9104 4.2643
Au 1.2070 0.0316 5.5323
Au 1.8746 1.8930 1.5978
Au 3.0748 1.9278 6.9308
Au 3.7423 3.7891 2.9963
```

Output
Space group ... No. 2
Total magnetic moment ... 0.00 μB per formula unit
Theoretical density ... 11.93 g/cm3

=====

It is 1) that is the most stable of them.

=====

1) VASP calculation (GGA-PBE) on CaAlAu3 after structural relaxation.

Structure (extended XYZ):
```
5
Lattice="4.9038 0.0000 0.0000 0.0000 4.9038 0.0000 0.0000 0.0000 4.9038" Properties=species:S:1:pos:R:3 pbc="T T T"
Ca 0.0000 0.0000 0.0000
Al 2.4519 2.4519 2.4519
Au 0.0000 2.4519 2.4519
Au 2.4519 0.0000 2.4519
Au 2.4519 2.4519 0.0000
```

Output
Space group ... No. 221
Total magnetic moment ... 0.00 μB per formula unit
Theoretical density ... 9.27 g/cm3

=====

2) VASP calculation (GGA-PBE) on CaAlAu3 after structural relaxation.

Structure (extended XYZ):
```
5
Lattice="5.4912 0.0000 0.0000 0.0000 5.4912 0.0000 0.0000 0.0000 5.4912" Properties=species:S:1:pos:R:3 pbc="T T T"
Ca 0.0000 0.0000 0.0000
Al 2.7456 2.7456 2.7456
Au 0.0000 0.0000 2.7456
Au 0.0000 2.7456 0.0000
Au 2.7456 0.0000 0.0000
```

Output
Space group ... No. 221
Total magnetic moment ... 0.00 μB per formula unit
Theoretical density ... 6.60 g/cm3

=====

It is 1) that is the most stable of them.

=====

1) VASP calculation (GGA-PBE) on CaAlAu3 after structural relaxation.

Structure (extended XYZ):
```
20
Lattice="6.5972 0.0000 0.0000 -3.2986 5.7133 0.0000 0.0000 0.0000 11.7202" Properties=species:S:1:pos:R:3 pbc="T T T"
Ca 0.0000 0.0000 0.0000
Ca 0.0000 0.0000 5.8601
Ca 0.0000 3.8089 2.9301
Ca 3.2986 1.9044 8.7902
Al 0.0000 3.8089 7.4926
Al 0.0000 3.8089 10.0877
Al 3.2986 1.9044 1.6325
Al 3.2986 1.9044 4.2276
Au -1.6493 2.8567 0.0000
Au -1.6493 2.8567 5.8601
Au 0.0000 1.5983 8.7902
Au -1.9144 4.9142 8.7902
Au 1.3842 0.7992 2.9301
Au 3.2986 0.0000 0.0000
Au 3.2986 0.0000 5.8601
Au 1.6493 2.8567 0.0000
Au 1.6493 2.8567 5.8601
Au 1.9144 4.9142 8.7902
Au 5.2130 0.7992 2.9301
Au 3.2986 4.1150 2.9301
```

Output
Space group ... No. 194
Total magnetic moment ... 0.00 μB per formula unit
Theoretical density ... 9.89 g/cm3

=====

2) VASP calculation (GGA-PBE) on CaAlAu3 after structural relaxation.

Structure (extended XYZ):
```
20
Lattice="8.6729 0.0000 0.0000 0.0000 4.4424 0.0000 0.0000 0.0000 10.7340" Properties=species:S:1:pos:R:3 pbc="T T T"
Ca 1.6189 1.1106 0.0479
Ca 2.7175 3.3318 5.4149
Ca 5.9554 1.1106 5.3191
Ca 7.0540 3.3318 10.6861
Al 0.8724 1.1106 3.7562
Al 3.4641 3.3318 9.1232
Al 5.2088 1.1106 1.6108
Al 7.8005 3.3318 6.9778
Au 0.5577 1.1106 6.2850
Au 0.9390 3.3318 8.7794
Au 1.2818 3.3318 2.2543
Au 3.0546 1.1106 7.6213
Au 3.3975 1.1106 3.4124
Au 3.7788 3.3318 0.9180
Au 4.8941 1.1106 9.8160
Au 5.2754 3.3318 7.3216
Au 5.6182 3.3318 3.1127
Au 7.3911 1.1106 8.4797
Au 7.7339 1.1106 1.9546
Au 8.1152 3.3318 4.4490
```

Output
Space group ... No. 62
Total magnetic moment ... 0.00 μB per formula unit
Theoretical density ... 10.57 g/cm3

=====

It is 2) that is the most stable of them.

=====

1) VASP calculation (GGA-PBE) on AlCd3Au after structural relaxation.

Structure (extended XYZ):
```
5
Lattice="5.1705 0.0000 0.0000 0.0000 5.1705 0.0000 0.0000 0.0000 5.1705" Properties=species:S:1:pos:R:3 pbc="T T T"
Al 0.0000 0.0000 0.0000
Cd 0.0000 0.0000 2.5853
Cd 0.0000 2.5853 0.0000
Cd 2.5853 0.0000 0.0000
Au 2.5853 2.5853 2.5853
```

Output
Space group ... No. 221
Total magnetic moment ... 0.00 μB per formula unit
Theoretical density ... 6.74 g/cm3

=====

2) VASP calculation (GGA-PBE) on AlCd3Au after structural relaxation.

Structure (extended XYZ):
```
5
Lattice="5.2758 0.0000 0.0000 0.0000 5.2758 0.0000 0.0000 0.0000 5.2758" Properties=species:S:1:pos:R:3 pbc="T T T"
Al 0.0000 0.0000 0.0000
Cd 0.0000 2.6379 2.6379
Cd 2.6379 0.0000 2.6379
Cd 2.6379 2.6379 0.0000
Au 2.6379 2.6379 2.6379
```

Output
Space group ... No. 221
Total magnetic moment ... 0.00 μB per formula unit
Theoretical density ... 6.35 g/cm3

=====

It is 2) that is the most stable of them.